Density functional theory data (PBE) for a geometry-optimized EuZn3Pt structure.

Results
DFT formation energy (eV/atom): -0.379

Lattice parameters (Å, degrees): 4.8587 4.8587 4.8587 90.00 90.00 90.00
Closest atoms and distances in Å follow each position.
Fractional positions:
Eu 0.5000 0.5000 0.5000  12 Zn 3.44
Zn 0.0000 0.5000 0.0000  2 Pt 2.43
Zn 0.0000 0.0000 0.5000  2 Pt 2.43
Zn 0.5000 0.0000 0.0000  2 Pt 2.43
Pt 0.0000 0.0000 0.0000  6 Zn 2.43